An optimized crystal structure of Tb12Cu6Bi. Source: Alexandria, functional PBE-GGA.

The structure in POSCAR format:
```
Tb12Cu6Bi
1.0
8.1324 0.0000 -2.8752
-4.0662 7.0429 -2.8753
0.0000 0.0000 8.6258
Tb Cu Bi
12 6 1
Cartesian
2.0019 0.8051 5.7946 Tb
0.4648 3.4675 -0.6573 Tb
3.6014 3.5754 3.5326 Tb
2.0643 6.2378 -2.9193 Tb
-2.3680 5.7117 -0.0441 Tb
3.2353 1.3312 0.6573 Tb
0.8309 5.7117 2.2179 Tb
6.4343 1.3312 2.9193 Tb
5.3619 2.1363 -2.2179 Tb
0.3038 2.1363 2.8312 Tb
3.7625 4.9066 0.0441 Tb
-1.2957 4.9066 5.0932 Tb
1.0348 3.5214 5.0446 Cu
3.0314 3.5214 -2.1694 Cu
0.4991 6.1784 -0.7059 Cu
3.5671 0.8645 3.5811 Cu
5.6002 2.6569 0.7059 Cu
-1.5340 4.3860 2.1694 Cu
0.0000 0.0000 0.0000 Bi
```

Calculated values
D(E_F) = 17.4 states/eV per cell
Crystal system = cubic
Formation energy = -0.216 eV per atom
Symmetry = Im-3, No. 204